Density functional theory data (PBE) for Ca2NdHg9 after structural relaxation. Values from VASP.

Cell and atoms, written as Quantum ESPRESSO input:
```
&SYSTEM
  ibrav = 0, nat = 12, ntyp = 3
/
ATOMIC_SPECIES
Ca 40.08 Ca.upf
Nd 144.24 Nd.upf
Hg 200.59 Hg.upf
ATOMIC_POSITIONS crystal
Ca 0.0000 0.0000 0.1639
Ca 0.0000 0.0000 0.8361
Nd 0.0000 0.0000 0.5000
Hg 0.0000 0.5000 0.0000
Hg 0.0000 0.5000 0.3329
Hg 0.0000 0.5000 0.6671
Hg 0.5000 0.0000 0.0000
Hg 0.5000 0.0000 0.3329
Hg 0.5000 0.0000 0.6671
Hg 0.5000 0.5000 0.1645
Hg 0.5000 0.5000 0.5000
Hg 0.5000 0.5000 0.8355
CELL_PARAMETERS angstrom
4.6925 0.0000 0.0000
0.0000 4.6925 0.0000
0.0000 0.0000 14.0882
```

Computed properties:
DOS at the Fermi energy = 6.8 states/eV per cell
Energy = -1.327 eV/atom
Total moment = 0.00 μB/f.u.
Energy of formation = -36 kJ/mol of atoms



Density functional theory data (PBE) for CaNd4Hg5 after structural relaxation. Values from VASP.

Cell and atoms, written as Quantum ESPRESSO input:
```
&SYSTEM
  ibrav = 0, nat = 10, ntyp = 3
/
ATOMIC_SPECIES
Ca 40.08 Ca.upf
Nd 144.24 Nd.upf
Hg 200.59 Hg.upf
ATOMIC_POSITIONS crystal
Ca 0.0000 0.0000 0.0000
Nd 0.0000 0.0000 0.1993
Nd 0.0000 0.0000 0.3993
Nd 0.0000 0.0000 0.6007
Nd 0.0000 0.0000 0.8007
Hg 0.5000 0.5000 0.1006
Hg 0.5000 0.5000 0.2999
Hg 0.5000 0.5000 0.5000
Hg 0.5000 0.5000 0.7001
Hg 0.5000 0.5000 0.8994
CELL_PARAMETERS angstrom
3.8215 0.0000 0.0000
0.0000 3.8215 0.0000
0.0000 0.0000 19.2382
```

Computed properties:
DOS at the Fermi energy = 9.9 states/eV per cell
Energy = -2.751 eV/atom
Total moment = 1.38 μB/f.u.
Energy of formation = -48 kJ/mol of atoms



Density functional theory data (PBE) for Ca2NdHg5 after structural relaxation. Values from VASP.

Cell and atoms, written as Quantum ESPRESSO input:
```
&SYSTEM
  ibrav = 0, nat = 8, ntyp = 3
/
ATOMIC_SPECIES
Ca 40.08 Ca.upf
Nd 144.24 Nd.upf
Hg 200.59 Hg.upf
ATOMIC_POSITIONS crystal
Ca 0.2380 0.2380 0.0000
Ca 0.7620 0.7620 0.0000
Nd 0.5000 0.5000 0.0000
Hg 0.0000 0.0000 0.0000
Hg 0.1254 0.6254 0.5000
Hg 0.3746 0.8746 0.5000
Hg 0.6254 0.1254 0.5000
Hg 0.8746 0.3746 0.5000
CELL_PARAMETERS angstrom
-2.6606 2.6606 7.3975
2.6606 -2.6606 7.3975
2.6606 2.6606 -7.3975
```

Computed properties:
DOS at the Fermi energy = 4.4 states/eV per cell
Energy = -1.749 eV/atom
Total moment = 0.00 μB/f.u.
Energy of formation = -45 kJ/mol of atoms



Density functional theory data (PBE) for CaNdHg4 after structural relaxation. Values from VASP.

Cell and atoms, written as Quantum ESPRESSO input:
```
&SYSTEM
  ibrav = 0, nat = 6, ntyp = 3
/
ATOMIC_SPECIES
Ca 40.08 Ca.upf
Nd 144.24 Nd.upf
Hg 200.59 Hg.upf
ATOMIC_POSITIONS crystal
Ca 0.0000 0.0000 0.0000
Nd 0.5018 0.4982 0.5000
Hg 0.0925 0.4249 0.7588
Hg 0.4245 0.0890 0.7568
Hg 0.5751 0.9075 0.2412
Hg 0.9110 0.5755 0.2432
CELL_PARAMETERS angstrom
4.4093 -4.3058 0.0000
4.4093 4.3058 0.0000
-2.8188 0.0000 4.1237
```

Computed properties:
DOS at the Fermi energy = 2.5 states/eV per cell
Energy = -1.773 eV/atom
Total moment = 0.00 μB/f.u.
Relative energy among the computed polymorphs = 0.00 eV per formula unit
Energy of formation = -43 kJ/mol of atoms